1 | YAuSeO | PBE | relaxed

Unit cell a=4.2246 b=6.2660 c=6.5925 alpha=90.00 beta=90.00 gamma=90.00
Closest atoms and distances in Å follow each position.
Space group Pmc2_1 (No. 26)
One atom of each set of equivalent atoms:
Y 0.0000 0.1930 0.0000 (multiplicity 2)  2 O 2.11-2.15
Au 0.5000 0.2680 0.6456 (multiplicity 2)  2 O 2.46, 2 Se 2.51-2.64
Se 0.5000 0.3475 0.2518 (multiplicity 2)  2 Au 2.51-2.64
O 0.0000 0.0746 0.6941 (multiplicity 2)  2 Y 2.11-2.15

Output
V, Å³ per atom: 21.81
Crystal system: orthorhombic

=====

2 | YAuSeO | PBE | relaxed

Unit cell a=3.9486 b=3.9486 c=9.4523 alpha=90.00 beta=90.00 gamma=90.00
Closest atoms and distances in Å follow each position.
Space group P4/nmm (No. 129, origin choice 2)
One atom of each set of equivalent atoms:
Y 0.2500 0.2500 0.1178 (multiplicity 2)  4 O 2.27
Au 0.2500 0.7500 0.5000 (multiplicity 2)  4 Au 2.79, 4 Se 2.85
Se 0.2500 0.2500 0.7173 (multiplicity 2)  4 Au 2.85
O 0.2500 0.7500 0.0000 (multiplicity 2)  4 Y 2.27

Output
V, Å³ per atom: 18.42
Crystal system: tetragonal

=====

3 | YAuSeO | PBE | relaxed

Unit cell a=5.7375 b=5.7324 c=11.1197 alpha=90.00 beta=92.14 gamma=90.00
Closest atoms and distances in Å follow each position.
Space group P2_1 (No. 4)
One atom of each set of equivalent atoms:
Y 0.0058 0.0000 0.0931 (multiplicity 2)  4 O 2.27-2.29
Y 0.4934 0.0015 0.9061 (multiplicity 2)  4 O 2.27-2.29
Au 0.0030 0.0234 0.7286 (multiplicity 2)  2 Se 2.45-2.46
Au 0.3159 0.2767 0.5034 (multiplicity 2)  2 Se 2.43
Se 0.3008 0.2241 0.2862 (multiplicity 2)  2 Au 2.43-2.45
Se 0.3076 0.3241 0.7208 (multiplicity 2)  2 Au 2.43-2.46
O 0.2494 0.2498 0.0019 (multiplicity 2)  4 Y 2.27-2.29
O 0.2515 0.7501 0.9997 (multiplicity 2)  4 Y 2.27-2.29

Output
V, Å³ per atom: 22.84
Crystal system: monoclinic

=====

Verdict on stability: 3 comes out on top.

=====

1 | YAuSeO | PBE | relaxed

Unit cell a=7.3440 b=6.2372 c=6.1887 alpha=90.00 beta=90.04 gamma=90.00
Closest atoms and distances in Å follow each position.
Space group P2_1/c (No. 14)
One atom of each set of equivalent atoms:
Y 0.1035 0.0041 0.2501 (multiplicity 4)  4 O 2.28-2.37
Au 0.4226 0.2073 0.5110 (multiplicity 4)  3 Se 2.52-2.80
Se 0.3053 0.5380 0.3027 (multiplicity 4)  3 Au 2.52-2.80
O 0.0038 0.7407 0.0000 (multiplicity 4)  4 Y 2.28-2.37

Output
V, Å³ per atom: 17.72
Crystal system: monoclinic

=====

2 | YAuSeO | PBE | relaxed

Unit cell a=9.5984 b=5.6297 c=5.6433 alpha=90.00 beta=90.00 gamma=90.00
Closest atoms and distances in Å follow each position.
Space group Aem2 (No. 39)
One atom of each set of equivalent atoms:
Y 0.1147 0.2500 0.0000 (multiplicity 4)  4 O 2.28
Au 0.5000 0.0000 0.0009 (multiplicity 4)  2 Se 2.55, 4 Au 2.81-2.82
Se 0.2787 0.2500 0.5009 (multiplicity 4)  2 Au 2.55
O 0.0000 0.0000 0.2500 (multiplicity 4)  4 Y 2.28

Output
V, Å³ per atom: 19.06
Crystal system: orthorhombic

=====

Verdict on stability: 2 comes out on top.

=====

1 | Si2Au2O5 | PBE | relaxed

Unit cell a=4.1059 b=4.1059 c=6.7868 alpha=90.00 beta=90.00 gamma=90.00
Closest atoms and distances in Å follow each position.
Space group P4/mmm (No. 123)
One atom of each set of equivalent atoms:
Si 0.0000 0.0000 0.0000 (multiplicity 1)  8 O 2.53
Si 0.0000 0.0000 0.5000 (multiplicity 1)  12 O 2.81-2.90
Au 0.5000 0.5000 0.1945 (multiplicity 2)  5 O 2.06-2.07
O 0.0000 0.5000 0.2175 (multiplicity 4)  2 Au 2.06
O 0.5000 0.5000 0.5000 (multiplicity 1)  2 Au 2.07

Output
V, Å³ per atom: 12.71
Crystal system: tetragonal

=====

2 | Si2Au2O5 | PBE | relaxed

Unit cell a=3.4362 b=3.4362 c=8.2975 alpha=90.00 beta=90.00 gamma=90.00
Closest atoms and distances in Å follow each position.
Space group P4/mmm (No. 123)
One atom of each set of equivalent atoms:
Si 0.0000 0.0000 0.2152 (multiplicity 2)  5 O 1.76-1.79
Au 0.5000 0.5000 0.0000 (multiplicity 1)  4 O 2.43
Au 0.5000 0.5000 0.5000 (multiplicity 1)  8 O 2.63
O 0.0000 0.0000 0.0000 (multiplicity 1)  2 Si 1.79
O 0.0000 0.5000 0.2598 (multiplicity 4)  2 Si 1.76

Output
V, Å³ per atom: 10.89
Crystal system: tetragonal

=====

Verdict on stability: 2 comes out on top.

=====

1 | Sn2Au2O5 | PBE | relaxed

Unit cell a=3.8764 b=3.8764 c=8.5098 alpha=90.00 beta=90.00 gamma=90.00
Closest atoms and distances in Å follow each position.
Space group P4/mmm (No. 123)
One atom of each set of equivalent atoms:
Sn 0.0000 0.0000 0.2390 (multiplicity 2)  5 O 2.03
Au 0.5000 0.5000 0.0000 (multiplicity 1)  4 O 2.74
Au 0.5000 0.5000 0.5000 (multiplicity 1)  8 O 2.52
O 0.0000 0.0000 0.0000 (multiplicity 1)  2 Sn 2.03
O 0.0000 0.5000 0.3117 (multiplicity 4)  2 Sn 2.03

Output
V, Å³ per atom: 14.21
Crystal system: tetragonal

=====

2 | Sn2Au2O5 | PBE | relaxed

Unit cell a=4.1731 b=4.1731 c=7.3408 alpha=90.00 beta=90.00 gamma=90.00
Closest atoms and distances in Å follow each position.
Space group P4/mmm (No. 123)
One atom of each set of equivalent atoms:
Sn 0.0000 0.0000 0.0000 (multiplicity 1)  8 O 2.49
Sn 0.0000 0.0000 0.5000 (multiplicity 1)  12 O 2.95-3.11
Au 0.5000 0.5000 0.1997 (multiplicity 2)  5 O 2.09-2.20
O 0.0000 0.5000 0.1853 (multiplicity 4)  2 Au 2.09
O 0.5000 0.5000 0.5000 (multiplicity 1)  2 Au 2.20

Output
V, Å³ per atom: 14.20
Crystal system: tetragonal

=====

Verdict on stability: 1 comes out on top.